This record from the Alexandria database describes a relaxed Pm2SmCd3 crystal. The functional is GGA-PBE.

The space group is P-3m1 (No. 164) and the conventional cell measures 5.4107, 5.4107 and 6.6234 Å, with angles of 90.00, 90.00 and 120.00 degrees. Symmetry generates all atoms from Pm at (0.3333, 0.6667, 0.1678), Sm at (0.0000, 0.0000, 0.5000), Cd at (0.0000, 0.0000, 0.0000) and Cd at (0.3333, 0.6667, 0.6665).

The calculation puts the formation energy at -0.32 eV per atom. As for the crystal system: trigonal. Its energy is -3.148 eV per atom.


This record from the Alexandria database describes a relaxed ZrTl2Ag crystal. The functional is GGA-PBE.

The space group is C2/m (No. 12) and the conventional cell measures 9.7822, 3.1872 and 6.0593 Å, with angles of 90.00, 100.75 and 90.00 degrees. Symmetry generates all atoms from Zr at (0.0000, 0.0000, 0.0000), Tl at (0.2443, 0.0000, 0.7434) and Ag at (0.0000, 0.5000, 0.5000).

The calculation puts the formation energy at 0.17 eV per atom. As for the crystal system: monoclinic. Its energy is -3.866 eV per atom.


This record from the Alexandria database describes a relaxed Sc3Ag crystal. The functional is GGA-PBE.

The space group is Pnma (No. 62) and the conventional cell measures 6.3244, 8.7885 and 6.4181 Å, with angles of 90.00, 90.00 and 90.00 degrees. Symmetry generates all atoms from Sc at (0.9997, 0.2500, 0.0833), Sc at (0.2491, 0.0457, 0.7494) and Ag at (0.0012, 0.7500, 0.4986).

The calculation puts the formation energy at -0.13 eV per atom. As for the crystal system: orthorhombic. Its energy is -5.593 eV per atom.


This record from the Alexandria database describes a relaxed NaLaCrN3 crystal. The functional is GGA-PBE.

The space group is Immm (No. 71) and the conventional cell measures 3.7488, 6.8139 and 12.5627 Å, with angles of 90.00, 90.00 and 90.00 degrees. Symmetry generates all atoms from Na at (0.0000, 0.0000, 0.1048), La at (0.0000, 0.5000, 0.1850), Cr at (0.0000, 0.1950, 0.5000), N at (0.0000, 0.2654, 0.3603) and N at (0.0000, 0.3240, 0.0000).

As for the crystal system: orthorhombic. Its energy is -7.275 eV per atom.


This record from the Alexandria database describes a relaxed Zr3H3Au crystal. The functional is GGA-PBE.

The space group is R-3 (No. 148, hexagonal axes) and the conventional cell measures 5.7768, 5.7768 and 21.2415 Å, with angles of 90.00, 90.00 and 120.00 degrees. Symmetry generates all atoms from Zr at (0.0015, 0.6769, 0.4013), H at (0.0007, 0.6606, 0.6369) and Au at (0.0000, 0.0000, 0.1664).

As for the crystal system: trigonal. Its energy is -5.885 eV per atom.


This record from the Alexandria database describes a relaxed Cs2LiNbCl6 crystal. The functional is GGA-PBE.

The space group is I4/mmm (No. 139) and the conventional cell measures 7.3450, 7.3450 and 10.4020 Å, with angles of 90.00, 90.00 and 90.00 degrees. Symmetry generates all atoms from Cs at (0.0000, 0.5000, 0.2500), Li at (0.0000, 0.0000, 0.0000), Nb at (0.0000, 0.0000, 0.5000), Cl at (0.0000, 0.0000, 0.2576) and Cl at (0.2428, 0.2428, 0.5000).

As for the crystal system: tetragonal. Its energy is -4.114 eV per atom.


This record from the Alexandria database describes a relaxed ScTeRhO6 crystal. The functional is GGA-PBE.

The space group is P-31c (No. 163) and the conventional cell measures 5.2714, 5.2714 and 8.6339 Å, with angles of 90.00, 90.00 and 120.00 degrees. Symmetry generates all atoms from Sc at (0.3333, 0.6667, 0.2500), Te at (0.3333, 0.6667, 0.7500), Rh at (0.0000, 0.0000, 0.0000) and O at (0.0189, 0.3505, 0.6267).

As for the crystal system: trigonal. Its energy is -6.650 eV per atom.


This record from the Alexandria database describes a relaxed HoHfAu4 crystal. The functional is GGA-PBE.

The space group is P4/mmm (No. 123) and the conventional cell measures 3.6492, 3.6492 and 8.9144 Å, with angles of 90.00, 90.00 and 90.00 degrees. Symmetry generates all atoms from Ho at (0.0000, 0.0000, 0.0000), Hf at (0.5000, 0.5000, 0.5000), Au at (0.0000, 0.0000, 0.3402) and Au at (0.5000, 0.5000, 0.1735).

The calculation puts the formation energy at -0.71 eV per atom. As for the crystal system: tetragonal. Its energy is -5.321 eV per atom.


This record from the Alexandria database describes a relaxed LaPr3Y crystal. The functional is GGA-PBE.

The space group is R-3 (No. 148, hexagonal axes) and the conventional cell measures 6.9712, 6.9712 and 26.7182 Å, with angles of 90.00, 90.00 and 120.00 degrees. Symmetry generates all atoms from La at (0.0000, 0.0000, 0.1961), Pr at (0.0075, 0.5055, 0.2411) and Y at (0.0000, 0.0000, 0.3144).

The calculation puts the formation energy at 0.26 eV per atom. As for the crystal system: trigonal. Its energy is -4.887 eV per atom.


This record from the Alexandria database describes a relaxed ZnAgRu2 crystal. The functional is GGA-PBE.

The space group is R3m (No. 160, hexagonal axes) and the conventional cell measures 2.7831, 2.7831 and 26.9153 Å, with angles of 90.00, 90.00 and 120.00 degrees. Symmetry generates all atoms from Zn at (0.0000, 0.0000, 0.0000), Ag at (0.0000, 0.0000, 0.2470), Ru at (0.0000, 0.0000, 0.4894) and Ru at (0.0000, 0.0000, 0.7481).

The calculation puts the formation energy at 0.15 eV per atom. As for the crystal system: trigonal. Its energy is -5.518 eV per atom.


This record from the Alexandria database describes a relaxed CaMo2Ru crystal. The functional is GGA-PBE.

The space group is I-42d (No. 122) and the conventional cell measures 7.6043, 7.6043 and 5.5227 Å, with angles of 90.00, 90.00 and 90.00 degrees. Symmetry generates all atoms from Ca at (0.0000, 0.0000, 0.0000), Mo at (0.1882, 0.7500, 0.6250) and Ru at (0.0000, 0.0000, 0.5000).

The calculation puts the formation energy at 0.82 eV per atom. As for the crystal system: tetragonal. Its energy is -7.410 eV per atom.


This record from the Alexandria database describes a relaxed ZnPd6Au8 crystal. The functional is GGA-PBE.

The space group is P-3 (No. 147) and the conventional cell measures 7.6225, 7.6225 and 5.5359 Å, with angles of 90.00, 90.00 and 120.00 degrees. Symmetry generates all atoms from Zn at (0.0000, 0.0000, 0.0000), Pd at (0.0188, 0.3320, 0.8596), Au at (0.0170, 0.3445, 0.3666) and Au at (0.3333, 0.6667, 0.0662).

The calculation puts the formation energy at -0.01 eV per atom. As for the crystal system: trigonal. Its energy is -3.920 eV per atom.


Number 1: volume 28.0 Å³/atom, total moment 1.35 Bohr magnetons per cell. Number 2: volume 23.2 Å³/atom, total moment 0.00 Bohr magnetons per cell. Number 3: volume 22.3 Å³/atom, total moment 0.00 Bohr magnetons per cell. Number 4: volume 13.4 Å³/atom, total moment 0.00 Bohr magnetons per cell. Number 5: volume 14.6 Å³/atom, total moment 0.01 Bohr magnetons per cell. Number 6: volume 28.1 Å³/atom, total moment 4.00 Bohr magnetons per cell. Number 7: volume 11.5 Å³/atom, total moment 0.00 Bohr magnetons per cell. Number 8: volume 19.8 Å³/atom, total moment 0.00 Bohr magnetons per cell. Number 9: volume 37.5 Å³/atom, total moment 0.00 Bohr magnetons per cell. Number 10: volume 15.0 Å³/atom, total moment 0.00 Bohr magnetons per cell. Number 11: volume 20.0 Å³/atom, total moment 0.00 Bohr magnetons per cell. Number 12: volume 18.6 Å³/atom, total moment 0.00 Bohr magnetons per cell.